A plane-wave DFT calculation with PBE-GGA was carried out for crystalline K2FeW at its relaxed geometry.

As for the density: 4.66 g/cm³. The value obtained for the density of states at the Fermi level is 3.8 states/eV/f.u. The polymorph energy (0 for the lowest one) is 0.0 meV/atom. For the total magnetization, the calculation gives 1.4 Bohr magnetons per cell. The value obtained for the formation enthalpy at 0 K is 0.90 eV/atom.

The structure in POSCAR format:
```
K2FeW
1.0
3.264 0.000 0.000
0.000 3.264 0.000
0.000 0.000 10.634
K Fe W
2 1 1
Direct
0.000 0.000 0.000 K
0.500 0.500 0.410 K
0.500 0.500 0.750 Fe
0.000 0.000 0.675 W
```



A plane-wave DFT calculation with PBE-GGA was carried out for crystalline TmTh2Sc6 at its relaxed geometry.

As for the density: 6.16 g/cm³. The value obtained for the density of states at the Fermi level is 17.2 states/eV/f.u. The polymorph energy (0 for the lowest one) is 176.9 meV/atom. For the total magnetization, the calculation gives 0.1 Bohr magnetons per cell. The value obtained for the formation enthalpy at 0 K is 0.09 eV/atom.

The structure in POSCAR format:
```
TmTh2Sc6
1.0
3.380 0.000 0.000
-1.690 2.928 0.000
0.000 0.000 24.606
Tm Th Sc
1 2 6
Direct
0.000 0.000 0.000 Tm
0.333 0.667 0.328 Th
0.333 0.667 0.672 Th
0.000 0.000 0.212 Sc
0.000 0.000 0.439 Sc
0.000 0.000 0.561 Sc
0.000 0.000 0.788 Sc
0.333 0.667 0.110 Sc
0.333 0.667 0.890 Sc
```



A plane-wave DFT calculation with PBE-GGA was carried out for crystalline LiPrPuIr at its relaxed geometry.

As for the density: 10.86 g/cm³. The value obtained for the density of states at the Fermi level is 8.2 states/eV/f.u. For the total magnetization, the calculation gives 6.0 Bohr magnetons per cell. The value obtained for the formation enthalpy at 0 K is -0.25 eV/atom.

The structure in POSCAR format:
```
LiPrPuIr
1.0
0.000 3.548 3.548
3.548 0.000 3.548
3.548 3.548 0.000
Li Pr Pu Ir
1 1 1 1
Direct
0.000 0.000 0.000 Li
0.250 0.250 0.250 Pr
0.750 0.750 0.750 Pu
0.500 0.500 0.500 Ir
```



A plane-wave DFT calculation with PBE-GGA was carried out for crystalline LaTcSe2 at its relaxed geometry.

As for the density: 7.07 g/cm³. The value obtained for the density of states at the Fermi level is 3.8 states/eV/f.u. The calculation puts the uncorrected formation energy at -227 meV/atom. The polymorph energy (0 for the lowest one) is 735.8 meV/atom. For the total magnetization, the calculation gives 0.2 Bohr magnetons per cell.

The structure in POSCAR format:
```
LaTcSe2
1.0
1.684 0.972 9.435
-1.684 0.972 9.435
0.000 -1.945 9.435
La Tc Se
1 1 2
Direct
0.000 0.000 0.000 La
0.500 0.500 0.500 Tc
0.108 0.108 0.108 Se
0.892 0.892 0.892 Se
```



A plane-wave DFT calculation with PBE-GGA was carried out for crystalline Cd2InSi2Rh5 at its relaxed geometry.

As for the density: 9.44 g/cm³. The value obtained for the density of states at the Fermi level is 2.5 states/eV/f.u. The calculation puts the uncorrected formation energy at -494 meV/atom. For the total magnetization, the calculation gives 0.0 Bohr magnetons per cell.

The structure in POSCAR format:
```
Cd2InSi2Rh5
1.0
9.806 0.000 0.000
0.000 9.806 0.000
0.000 0.000 3.331
Cd In Si Rh
4 2 4 10
Direct
0.173 0.327 0.000 Cd
0.327 0.827 0.000 Cd
0.673 0.173 0.000 Cd
0.827 0.673 0.000 Cd
0.000 0.000 0.000 In
0.500 0.500 0.000 In
0.127 0.627 0.000 Si
0.373 0.127 0.000 Si
0.627 0.873 0.000 Si
0.873 0.373 0.000 Si
0.000 0.500 0.500 Rh
0.074 0.788 0.500 Rh
0.212 0.074 0.500 Rh
0.288 0.574 0.500 Rh
0.426 0.288 0.500 Rh
0.500 0.000 0.500 Rh
0.574 0.712 0.500 Rh
0.712 0.426 0.500 Rh
0.788 0.926 0.500 Rh
0.926 0.212 0.500 Rh
```



A plane-wave DFT calculation with PBE-GGA was carried out for crystalline Li2Hf2ScTe6 at its relaxed geometry.

As for the density: 6.45 g/cm³. The value obtained for the density of states at the Fermi level is 3.7 states/eV/f.u. The calculation puts the uncorrected formation energy at -956 meV/atom. For the total magnetization, the calculation gives 0.0 Bohr magnetons per cell.

The structure in POSCAR format:
```
Li2Hf2ScTe6
1.0
3.504 -6.082 0.000
3.504 6.082 0.000
-2.349 0.000 7.132
Li Hf Sc Te
2 2 1 6
Direct
0.167 0.833 0.000 Li
0.833 0.167 0.000 Li
0.333 0.667 0.500 Hf
0.667 0.333 0.500 Hf
0.000 0.000 0.500 Sc
0.084 0.418 0.745 Te
0.256 0.256 0.256 Te
0.418 0.084 0.745 Te
0.582 0.916 0.255 Te
0.744 0.744 0.744 Te
0.916 0.582 0.255 Te
```



A plane-wave DFT calculation with PBE-GGA was carried out for crystalline LaEr2Pt9 at its relaxed geometry.

As for the density: 16.37 g/cm³. The value obtained for the density of states at the Fermi level is 8.9 states/eV/f.u. For the total magnetization, the calculation gives 0.0 Bohr magnetons per cell. The value obtained for the formation enthalpy at 0 K is -0.98 eV/atom.

The structure in POSCAR format:
```
LaEr2Pt9
1.0
2.719 1.570 8.830
-2.719 1.570 8.830
0.000 -3.140 8.830
La Er Pt
1 2 9
Direct
0.000 0.000 0.000 La
0.141 0.141 0.141 Er
0.859 0.859 0.859 Er
0.081 0.589 0.589 Pt
0.333 0.333 0.333 Pt
0.411 0.411 0.919 Pt
0.411 0.919 0.411 Pt
0.500 0.500 0.500 Pt
0.589 0.081 0.589 Pt
0.589 0.589 0.081 Pt
0.667 0.667 0.667 Pt
0.919 0.411 0.411 Pt
```



A plane-wave DFT calculation with PBE-GGA was carried out for crystalline ZnAs2 at its relaxed geometry.

As for the density: 4.76 g/cm³. The value obtained for the density of states at the Fermi level is 0.4 states/eV/f.u. For the total magnetization, the calculation gives 0.0 Bohr magnetons per cell. The value obtained for the formation enthalpy at 0 K is 0.16 eV/atom.

The structure in POSCAR format:
```
ZnAs2
1.0
-1.943 1.943 4.973
1.943 -1.943 4.973
1.943 1.943 -4.973
Zn As
1 2
Direct
0.000 0.000 0.000 Zn
0.241 0.241 0.000 As
0.759 0.759 0.000 As
```